Record 1
Below is crystalline CdSi2Sb at its relaxed geometry, with properties calculated at the GGA-PBE level.

The structure in POSCAR format:
```
CdSi2Sb
1.0
0.7907 2.3410 4.2283
-2.9417 3.6748 1.3517
-3.0991 -0.5950 3.7452
Si Sb Cd
2 1 1
direct
0.2500 0.2500 0.2500
0.0000 0.0000 0.0000
0.7500 0.7500 0.7500
0.5000 0.5000 0.5000
```

Properties
The space-group type is No. 216. For the volume, the calculation gives 83.1 Å³ per cell. As for the crystal system: cubic.

---

Record 2
Below is crystalline SrSmCdSb2 at its relaxed geometry, with properties calculated at the GGA-PBE level.

The structure in POSCAR format:
```
SrSmCdSb2
1.0
5.0638 7.5819 2.8612
-5.6076 -7.5123 1.8528
5.7096 -4.0846 0.7189
Sr Sm Sb Cd
2 2 4 2
direct
0.7987 0.2013 0.0632
0.2013 0.7987 0.5632
0.9886 0.0114 0.7654
0.0114 0.9886 0.2654
0.1680 0.8320 0.0590
0.8320 0.1680 0.5590
0.5737 0.4263 0.5309
0.4263 0.5737 0.0309
0.5946 0.4054 0.9471
0.4054 0.5946 0.4471
```

Properties
For the magnetic moment, the calculation gives 0.02 μB per formula unit. The space-group type is No. 36. For the volume, the calculation gives 310.0 Å³ per cell. As for the crystal system: orthorhombic.

---

no.,total DFT energy (no corrections) (eV for the cell shown)
1,-13.590
2,-38.912